(1)
Entry from the Alexandria database: a relaxed structure of Zr5N5O2 (PBE).

Lattice parameters (Å, degrees): 5.5055 5.5055 18.5759 105.17 105.17 32.96
Closest atoms and distances in Å follow each position.
Element x y z (fractional)
Zr (0.0000, 0.0000, 0.0000)  2 O 2.23, 4 N 2.30-2.34
Zr (0.0018, 0.0018, 0.5054)  2 O 2.24, 5 N 2.30-2.46
Zr (0.1827, 0.1827, 0.3894)  5 N 2.20-2.23, 1 O 2.23
Zr (0.1928, 0.1928, 0.8907)  1 O 2.19, 5 N 2.20-2.26
Zr (0.2901, 0.2901, 0.1033)  3 N 2.08-2.19, 3 O 2.23-2.28
Zr (0.3010, 0.3010, 0.6011)  2 O 2.14-2.16, 4 N 2.23-2.24
Zr (0.4056, 0.4056, 0.3098)  6 N 2.14-2.35
Zr (0.4174, 0.4174, 0.8127)  1 O 2.20, 5 N 2.20-2.24
Zr (0.5989, 0.5989, 0.6958)  2 O 2.26, 5 N 2.28-2.41
Zr (0.6067, 0.6067, 0.2026)  4 N 2.17-2.36, 2 O 2.41
N (0.0348, 0.0348, 0.2779)  5 Zr 2.23-2.36
N (0.0419, 0.0419, 0.7782)  5 Zr 2.24-2.38
N (0.2517, 0.2517, 0.2071)  4 Zr 2.08-2.17
N (0.5639, 0.5639, 0.4268)  5 Zr 2.23-2.35
N (0.5678, 0.5678, 0.9242)  5 Zr 2.24-2.34
N (0.6389, 0.6389, 0.0721)  4 Zr 2.19-2.30
N (0.6434, 0.6434, 0.5752)  5 Zr 2.24-2.41
N (0.7975, 0.7975, 0.3521)  4 Zr 2.20
N (0.8103, 0.8103, 0.8555)  4 Zr 2.20
N (0.9575, 0.9575, 0.6287)  5 Zr 2.23-2.46
O (0.2576, 0.2576, 0.7083)  4 Zr 2.16-2.26
O (0.3456, 0.3456, 0.4954)  4 Zr 2.14-2.24
O (0.3482, 0.3482, 0.9968)  4 Zr 2.19-2.23
O (0.9541, 0.9541, 0.1262)  5 Zr 2.28-2.52

## Properties
DFT total energy = -0.3600 hartree per atom
DOS(E_F) = 2.33 states/eV per cell
ΔE_f (raw) = -1.94 eV/atom
crystal system = monoclinic



(2)
Entry from the Alexandria database: a relaxed structure of Zr2NO2 (PBE).

Lattice parameters (Å, degrees): 3.2784 3.2784 8.2886 103.72 103.72 59.95
Closest atoms and distances in Å follow each position.
Element x y z (fractional)
Zr (0.0977, 0.0977, 0.3292)  3 O 2.13-2.14, 3 N 2.33-2.34
Zr (0.9023, 0.9023, 0.6708)  3 O 2.13-2.14, 3 N 2.33-2.34
N (0.5000, 0.5000, 0.5000)  6 Zr 2.33-2.34
O (0.2842, 0.2842, 0.7947)  3 Zr 2.13-2.14
O (0.7158, 0.7158, 0.2053)  3 Zr 2.13-2.14

## Properties
DFT total energy = -0.3502 hartree per atom
DOS(E_F) = 2.79 states/eV per cell
ΔE_f (raw) = -2.46 eV/atom
crystal system = monoclinic



Question: ΔE_f (raw) of number 2 (Zr2NO2)?
Answer: -2.46 eV/atom



Question: The lowest DFT total energy belongs to which entry?
Answer: Zr5N5O2



Copy entry 1 word for word.
Entry from the Alexandria database: a relaxed structure of Zr5N5O2 (PBE).

Lattice parameters (Å, degrees): 5.5055 5.5055 18.5759 105.17 105.17 32.96
Closest atoms and distances in Å follow each position.
Element x y z (fractional)
Zr (0.0000, 0.0000, 0.0000)  2 O 2.23, 4 N 2.30-2.34
Zr (0.0018, 0.0018, 0.5054)  2 O 2.24, 5 N 2.30-2.46
Zr (0.1827, 0.1827, 0.3894)  5 N 2.20-2.23, 1 O 2.23
Zr (0.1928, 0.1928, 0.8907)  1 O 2.19, 5 N 2.20-2.26
Zr (0.2901, 0.2901, 0.1033)  3 N 2.08-2.19, 3 O 2.23-2.28
Zr (0.3010, 0.3010, 0.6011)  2 O 2.14-2.16, 4 N 2.23-2.24
Zr (0.4056, 0.4056, 0.3098)  6 N 2.14-2.35
Zr (0.4174, 0.4174, 0.8127)  1 O 2.20, 5 N 2.20-2.24
Zr (0.5989, 0.5989, 0.6958)  2 O 2.26, 5 N 2.28-2.41
Zr (0.6067, 0.6067, 0.2026)  4 N 2.17-2.36, 2 O 2.41
N (0.0348, 0.0348, 0.2779)  5 Zr 2.23-2.36
N (0.0419, 0.0419, 0.7782)  5 Zr 2.24-2.38
N (0.2517, 0.2517, 0.2071)  4 Zr 2.08-2.17
N (0.5639, 0.5639, 0.4268)  5 Zr 2.23-2.35
N (0.5678, 0.5678, 0.9242)  5 Zr 2.24-2.34
N (0.6389, 0.6389, 0.0721)  4 Zr 2.19-2.30
N (0.6434, 0.6434, 0.5752)  5 Zr 2.24-2.41
N (0.7975, 0.7975, 0.3521)  4 Zr 2.20
N (0.8103, 0.8103, 0.8555)  4 Zr 2.20
N (0.9575, 0.9575, 0.6287)  5 Zr 2.23-2.46
O (0.2576, 0.2576, 0.7083)  4 Zr 2.16-2.26
O (0.3456, 0.3456, 0.4954)  4 Zr 2.14-2.24
O (0.3482, 0.3482, 0.9968)  4 Zr 2.19-2.23
O (0.9541, 0.9541, 0.1262)  5 Zr 2.28-2.52

## Properties
DFT total energy = -0.3600 hartree per atom
DOS(E_F) = 2.33 states/eV per cell
ΔE_f (raw) = -1.94 eV/atom
crystal system = monoclinic



Question: Which of these has the highest ΔE_f (raw)?
Answer: Zr5N5O2